A plane-wave DFT calculation with PBE was carried out for crystalline Ho5Th2Sc4 at its relaxed geometry.

Lattice parameters (Å, degrees): 3.3804 7.1151 14.3998 104.30 96.74 90.00
Closest atoms and distances in Å follow each position.
Fractional coordinates of all 11 atoms:
Ho (0.8048, 0.0641, 0.6097)  1 Th 3.18, 5 Ho 3.38-3.48
Ho (0.8048, 0.5455, 0.6097)  1 Th 3.18, 5 Ho 3.38-3.48
Ho (0.1952, 0.4545, 0.3903)  1 Th 3.18, 5 Ho 3.38-3.48
Ho (0.1952, 0.9359, 0.3903)  1 Th 3.18, 5 Ho 3.38-3.48
Ho (0.5000, 0.0000, 0.0000)  4 Sc 2.88
Th (0.8985, 0.8985, 0.7971)  4 Ho 3.18-3.28, 2 Th 3.38
Th (0.1015, 0.1015, 0.2029)  4 Ho 3.18-3.28, 2 Th 3.38
Sc (0.0000, 0.3282, 0.0000)  1 Sc 2.45
Sc (0.5980, 0.5980, 0.1959)  6 Sc 3.38-3.42, 4 Ho 3.61
Sc (0.0000, 0.6718, 0.0000)  1 Sc 2.45
Sc (0.4020, 0.4020, 0.8041)  6 Sc 3.38-3.42, 4 Ho 3.61

=====

A plane-wave DFT calculation with PBE was carried out for crystalline Ho5Th2Sc4 at its relaxed geometry.

Lattice parameters (Å, degrees): 3.4277 8.3763 11.4370 96.78 90.00 90.00
Closest atoms and distances in Å follow each position.
Fractional coordinates of all 11 atoms:
Ho (0.0000, 0.5000, 0.0000)  4 Sc 3.29, 6 Ho 3.36-3.43
Ho (0.0000, 0.1591, 0.1339)  1 Th 3.24, 4 Sc 3.37-3.43, 4 Ho 3.40-3.54
Ho (0.0000, 0.8409, 0.8661)  1 Th 3.24, 4 Sc 3.37-3.43, 4 Ho 3.40-3.54
Ho (0.0000, 0.5468, 0.2959)  4 Ho 3.36-3.54, 6 Sc 3.37-3.58, 1 Th 3.47
Ho (0.0000, 0.4532, 0.7041)  4 Ho 3.36-3.54, 6 Sc 3.37-3.58, 1 Th 3.47
Th (0.0000, 0.9624, 0.3615)  3 Th 3.16-3.43, 2 Ho 3.24-3.47, 4 Sc 3.34-3.42
Th (0.0000, 0.0376, 0.6385)  3 Th 3.16-3.43, 2 Ho 3.24-3.47, 4 Sc 3.34-3.42
Sc (0.5000, 0.1886, 0.8772)  8 Ho 3.29-3.58, 2 Th 3.34, 2 Sc 3.43
Sc (0.5000, 0.8114, 0.1228)  8 Ho 3.29-3.58, 2 Th 3.34, 2 Sc 3.43
Sc (0.5000, 0.3053, 0.4612)  3 Sc 3.28-3.43, 4 Ho 3.37-3.39, 4 Th 3.42-3.63
Sc (0.5000, 0.6947, 0.5388)  3 Sc 3.28-3.43, 4 Ho 3.37-3.39, 4 Th 3.42-3.63

=====

A plane-wave DFT calculation with PBE was carried out for crystalline Ho3ThSc3 at its relaxed geometry.

Lattice parameters (Å, degrees): 6.6070 6.6070 9.7068 93.21 93.21 103.74
Closest atoms and distances in Å follow each position.
Fractional coordinates of all 14 atoms:
Ho (0.6270, 0.6270, 0.3571)  5 Sc 3.36-3.51, 3 Ho 3.61-3.62
Ho (0.1585, 0.8415, 0.5000)  6 Sc 3.04-3.36, 1 Ho 3.30
Ho (0.8415, 0.1585, 0.5000)  6 Sc 3.04-3.36, 1 Ho 3.30
Ho (0.2298, 0.7702, 0.0000)  6 Sc 3.20-3.41, 4 Th 3.27-3.42
Ho (0.7702, 0.2298, 0.0000)  6 Sc 3.20-3.41, 4 Th 3.27-3.42
Ho (0.3730, 0.3730, 0.6429)  5 Sc 3.36-3.51, 3 Ho 3.61-3.62
Th (0.6982, 0.6982, 0.9710)  4 Sc 3.19-3.27, 4 Ho 3.27-3.42, 1 Th 3.33
Th (0.3018, 0.3018, 0.0290)  4 Sc 3.19-3.27, 4 Ho 3.27-3.42, 1 Th 3.33
Sc (0.9895, 0.9895, 0.2182)  5 Ho 3.19-3.36, 2 Sc 3.20, 2 Th 3.22-3.27
Sc (0.9145, 0.5141, 0.7240)  3 Ho 3.04-3.40, 1 Th 3.19, 1 Sc 3.20
Sc (0.5141, 0.9145, 0.7240)  3 Ho 3.04-3.40, 1 Th 3.19, 1 Sc 3.20
Sc (0.0855, 0.4859, 0.2760)  3 Ho 3.04-3.40, 1 Th 3.19, 1 Sc 3.20
Sc (0.4859, 0.0855, 0.2760)  3 Ho 3.04-3.40, 1 Th 3.19, 1 Sc 3.20
Sc (0.0105, 0.0105, 0.7818)  5 Ho 3.19-3.36, 2 Sc 3.20, 2 Th 3.22-3.27

=====

A plane-wave DFT calculation with PBE was carried out for crystalline Ho8Th3Sc2 at its relaxed geometry.

Lattice parameters (Å, degrees): 10.2637 10.2637 6.2725 80.13 80.13 38.52
Closest atoms and distances in Å follow each position.
Fractional coordinates of all 13 atoms:
Ho (0.5657, 0.5657, 0.0837)  1 Sc 2.91, 1 Ho 2.93, 2 Th 3.21
Ho (0.4343, 0.4343, 0.9163)  1 Sc 2.91, 1 Ho 2.93, 2 Th 3.21
Ho (0.1615, 0.1615, 0.2048)  3 Sc 3.24-3.49, 4 Ho 3.54-3.61, 1 Th 3.59
Ho (0.8385, 0.8385, 0.7952)  3 Sc 3.24-3.49, 4 Ho 3.54-3.61, 1 Th 3.59
Ho (0.0835, 0.5806, 0.3052)  2 Sc 3.17-3.53, 4 Ho 3.31-3.54
Ho (0.5806, 0.0835, 0.3052)  2 Sc 3.17-3.53, 4 Ho 3.31-3.54
Ho (0.4194, 0.9165, 0.6948)  2 Sc 3.17-3.53, 4 Ho 3.31-3.54
Ho (0.9165, 0.4194, 0.6948)  2 Sc 3.17-3.53, 4 Ho 3.31-3.54
Th (0.0000, 0.0000, 0.0000)  4 Th 3.54, 10 Ho 3.59-3.86
Th (0.7580, 0.2420, 0.5000)  2 Ho 3.21, 4 Th 3.28-3.54
Th (0.2420, 0.7580, 0.5000)  2 Ho 3.21, 4 Th 3.28-3.54
Sc (0.2944, 0.2944, 0.8079)  4 Ho 2.91-3.24
Sc (0.7056, 0.7056, 0.1921)  4 Ho 2.91-3.24

=====

A plane-wave DFT calculation with PBE was carried out for crystalline Ho12ThSc7 at its relaxed geometry.

Lattice parameters (Å, degrees): 9.6677 9.6677 9.6677 112.93 112.93 112.93
Closest atoms and distances in Å follow each position.
Fractional coordinates of all 20 atoms:
Ho (0.9999, 0.2837, 0.7162)  2 Ho 2.96, 4 Sc 3.22-3.25
Ho (0.7163, 0.2838, 0.0001)  2 Ho 2.96, 4 Sc 3.22-3.25
Ho (0.4182, 0.0876, 0.4183)  4 Sc 3.11-3.43, 3 Ho 3.18-3.45
Ho (0.9124, 0.5817, 0.5818)  4 Sc 3.11-3.43, 3 Ho 3.18-3.45
Ho (0.2838, 0.0001, 0.7163)  2 Ho 2.96, 4 Sc 3.22-3.25
Ho (0.5817, 0.5818, 0.9124)  4 Sc 3.11-3.43, 3 Ho 3.18-3.45
Ho (0.4183, 0.4182, 0.0876)  4 Sc 3.11-3.43, 3 Ho 3.18-3.45
Ho (0.7162, 0.9999, 0.2837)  2 Ho 2.96, 4 Sc 3.22-3.25
Ho (0.0876, 0.4183, 0.4182)  4 Sc 3.11-3.43, 3 Ho 3.18-3.45
Ho (0.5818, 0.9124, 0.5817)  4 Sc 3.11-3.43, 3 Ho 3.18-3.45
Ho (0.2837, 0.7162, 0.9999)  2 Ho 2.96, 4 Sc 3.22-3.25
Ho (0.0001, 0.7163, 0.2838)  2 Ho 2.96, 4 Sc 3.22-3.25
Th (0.0000, 0.0000, 0.0000)  8 Sc 3.74-3.93, 6 Ho 3.92
Sc (0.8449, 0.5117, 0.8449)  7 Ho 3.11-3.35, 1 Sc 3.48
Sc (0.4883, 0.1551, 0.1551)  7 Ho 3.11-3.35, 1 Sc 3.48
Sc (0.1551, 0.1551, 0.4883)  7 Ho 3.11-3.35, 1 Sc 3.48
Sc (0.5000, 0.5000, 0.5000)  6 Ho 3.43, 6 Sc 3.61
Sc (0.8449, 0.8449, 0.5117)  7 Ho 3.11-3.35, 1 Sc 3.48
Sc (0.5117, 0.8449, 0.8449)  7 Ho 3.11-3.35, 1 Sc 3.48
Sc (0.1551, 0.4883, 0.1551)  7 Ho 3.11-3.35, 1 Sc 3.48

=====

A plane-wave DFT calculation with PBE was carried out for crystalline HoTh3Sc4 at its relaxed geometry.

Lattice parameters (Å, degrees): 3.7130 5.4963 11.0006 90.00 90.00 90.00
Closest atoms and distances in Å follow each position.
Fractional coordinates of all 8 atoms:
Sc (0.0000, 0.0000, 0.5000)  8 Th 3.32-3.35, 2 Sc 3.71
Sc (0.0000, 0.5000, 0.7470)  6 Th 3.29-3.32, 2 Ho 3.35
Sc (0.0000, 0.0000, 0.0000)  4 Th 3.29, 4 Ho 3.32
Sc (0.0000, 0.5000, 0.2530)  6 Th 3.29-3.32, 2 Ho 3.35
Ho (0.5000, 0.5000, 0.0000)  8 Sc 3.32-3.35, 2 Ho 3.71
Th (0.5000, 0.0000, 0.2468)  8 Sc 3.29-3.35
Th (0.5000, 0.5000, 0.5000)  8 Sc 3.29-3.32
Th (0.5000, 0.0000, 0.7532)  8 Sc 3.29-3.35

=====

| no. | electronic total energy (eV per atom) | D(E_F) (states/eV/f.u.) | formation energy (eV/atom) |
| --- | --- | --- | --- |
| 1 | -5.325 | 18.3 | 0.407 |
| 2 | -5.583 | 20.6 | 0.149 |
| 3 | -5.520 | 9.8 | 0.216 |
| 4 | -5.280 | 21.1 | 0.223 |
| 5 | -5.058 | 32.8 | 0.276 |
| 6 | -6.473 | 9.0 | 0.048 |